An optimized crystal structure of Al2Pt2Se, computed with PBE-GGA.

Geometry as CIF:
```
data_Al2Pt2Se
_cell_length_a 3.899
_cell_length_b 3.899
_cell_length_c 11.739
_cell_angle_alpha 90.00
_cell_angle_beta 90.00
_cell_angle_gamma 90.00
_space_group_name_H-M_alt 'I 4/m m m'
_space_group_IT_number 139
_space_group_name_Hall '-I 4 2'
loop_
_atom_site_label
_atom_site_fract_x
_atom_site_fract_y
_atom_site_fract_z
Al1 0.000 0.500 0.250
Pt1 0.000 0.000 0.121
Se1 0.000 0.000 0.500
```

Output
Total moment   0.00 μB per atom
Distance to the lowest polymorph of the same formula   59 meV/atom
Crystal system   tetragonal
Uncorrected formation energy   -59 kJ/mol of atoms
Calculated total energy   -5.22 eV/atom

An optimized crystal structure of SiRhPb3, computed with PBE-GGA.

Geometry as CIF:
```
data_SiRhPb3
_cell_length_a 5.248
_cell_length_b 5.248
_cell_length_c 5.248
_cell_angle_alpha 90.00
_cell_angle_beta 90.00
_cell_angle_gamma 90.00
_space_group_name_H-M_alt 'P m -3 m'
_space_group_IT_number 221
_space_group_name_Hall '-P 4 2 3'
loop_
_atom_site_label
_atom_site_fract_x
_atom_site_fract_y
_atom_site_fract_z
Si1 0.000 0.000 0.000
Rh1 0.500 0.500 0.500
Pb1 0.000 0.000 0.500
```

Output
Total moment   0.00 μB per atom
Distance to the lowest polymorph of the same formula   506 meV/atom
Crystal system   cubic
Uncorrected formation energy   92 kJ/mol of atoms
Calculated total energy   -3.83 eV/atom

An optimized crystal structure of Rb2WCCl6, computed with PBE-GGA.

Geometry as CIF:
```
data_Rb2WCCl6
_cell_length_a 7.895
_cell_length_b 7.895
_cell_length_c 9.094
_cell_angle_alpha 90.00
_cell_angle_beta 90.00
_cell_angle_gamma 90.00
_space_group_name_H-M_alt 'I 4/m m m'
_space_group_IT_number 139
_space_group_name_Hall '-I 4 2'
loop_
_atom_site_label
_atom_site_fract_x
_atom_site_fract_y
_atom_site_fract_z
Rb1 0.000 0.500 0.250
W1 0.000 0.000 0.000
C1 0.000 0.000 0.500
Cl1 0.000 0.000 0.264
Cl2 0.218 0.218 0.000
```

Output
Total moment   0.23 μB per atom
Crystal system   tetragonal
Uncorrected formation energy   -44 kJ/mol of atoms
Calculated total energy   -3.97 eV/atom

An optimized crystal structure of Gd2InO, computed with PBE-GGA.

Geometry as CIF:
```
data_Gd2InO
_cell_length_a 3.157
_cell_length_b 3.157
_cell_length_c 8.018
_cell_angle_alpha 90.00
_cell_angle_beta 90.00
_cell_angle_gamma 90.00
_space_group_name_H-M_alt 'P 4/m m m'
_space_group_IT_number 123
_space_group_name_Hall '-P 4 2'
loop_
_atom_site_label
_atom_site_fract_x
_atom_site_fract_y
_atom_site_fract_z
Gd1 0.000 0.000 0.195
In1 0.500 0.500 0.500
O1 0.500 0.500 0.000
```

Output
Total moment   3.81 μB per atom
Distance to the lowest polymorph of the same formula   344 meV/atom
Crystal system   tetragonal
Uncorrected formation energy   -117 kJ/mol of atoms
Calculated total energy   -10.18 eV/atom

An optimized crystal structure of LiAl2Tc, computed with PBE-GGA.

Geometry as CIF:
```
data_LiAl2Tc
_cell_length_a 2.8802
_cell_length_b 2.8802
_cell_length_c 26.5286
_cell_angle_alpha 90.00
_cell_angle_beta 90.00
_cell_angle_gamma 120.00
_space_group_name_H-M_alt 'R -3 m'
_space_group_IT_number 166
_space_group_name_Hall '-R 3 2"'
loop_
_atom_site_label
_atom_site_fract_x
_atom_site_fract_y
_atom_site_fract_z
Li1 0.0000 0.0000 0.0000
Al1 0.0000 0.0000 0.2428
Tc1 0.0000 0.0000 0.5000
```

Output
Total moment   0.00 μB per atom
Distance to the lowest polymorph of the same formula   183 meV/atom
E_form   -0.127 eV/atom
Crystal system   trigonal
Calculated total energy   -5.07 eV/atom

An optimized crystal structure of Sc2Ir, computed with PBE-GGA.

Geometry as CIF:
```
data_Sc2Ir
_cell_length_a 3.098
_cell_length_b 3.098
_cell_length_c 26.083
_cell_angle_alpha 90.00
_cell_angle_beta 90.00
_cell_angle_gamma 90.00
_space_group_name_H-M_alt 'I 41/a m d'
_space_group_IT_number 141
loop_
_space_group_symop_operation_xyz
'x,y,z'
'-x,-y,-z'
'-y+1/4,x+3/4,z+1/4'
'y+1/4,-x+3/4,-z+1/4'
'-x+1/2,-y,z+1/2'
'x+1/2,y,-z+1/2'
'y+1/4,-x+1/4,z+3/4'
'-y+1/4,x+1/4,-z+3/4'
'x,-y,-z'
'-x,y,z'
'-y+1/4,-x+1/4,-z+3/4'
'y+1/4,x+1/4,z+3/4'
'-x+1/2,y,-z+1/2'
'x+1/2,-y,z+1/2'
'y+1/4,x+3/4,-z+1/4'
'-y+1/4,-x+3/4,z+1/4'
'x+1/2,y+1/2,z+1/2'
'-x+1/2,-y+1/2,-z+1/2'
'-y+3/4,x+1/4,z+3/4'
'y+3/4,-x+1/4,-z+3/4'
'-x,-y+1/2,z'
'x,y+1/2,-z'
'y+3/4,-x+3/4,z+1/4'
'-y+3/4,x+3/4,-z+1/4'
'x+1/2,-y+1/2,-z+1/2'
'-x+1/2,y+1/2,z+1/2'
'-y+3/4,-x+3/4,-z+1/4'
'y+3/4,x+3/4,z+1/4'
'-x,y+1/2,-z'
'x,-y+1/2,z'
'y+3/4,x+1/4,-z+3/4'
'-y+3/4,-x+1/4,z+3/4'
loop_
_atom_site_label
_atom_site_fract_x
_atom_site_fract_y
_atom_site_fract_z
Sc1 0.000 0.250 0.310
Ir1 0.000 0.250 0.875
```

Output
Total moment   0.00 μB per atom
E_form   -0.609 eV/atom
Crystal system   tetragonal
Calculated total energy   -7.78 eV/atom

An optimized crystal structure of K3CeSm2Se6, computed with PBE-GGA.

Geometry as CIF:
```
data_K3CeSm2Se6
_cell_length_a 7.498
_cell_length_b 12.987
_cell_length_c 8.086
_cell_angle_alpha 90.00
_cell_angle_beta 108.01
_cell_angle_gamma 90.00
_space_group_name_H-M_alt 'C 1 2/m 1'
_space_group_IT_number 12
loop_
_space_group_symop_operation_xyz
'x,y,z'
'-x,-y,-z'
'-x,y,-z'
'x,-y,z'
'x+1/2,y+1/2,z'
'-x+1/2,-y+1/2,-z'
'-x+1/2,y+1/2,-z'
'x+1/2,-y+1/2,z'
loop_
_atom_site_label
_atom_site_fract_x
_atom_site_fract_y
_atom_site_fract_z
K1 0.000 0.000 0.000
K2 0.000 0.333 0.000
Ce1 0.000 0.500 0.500
Sm1 0.000 0.167 0.500
Se1 0.233 0.000 0.709
Se2 0.238 0.332 0.709
```

Output
Total moment   0.08 μB per atom
Crystal system   monoclinic
Uncorrected formation energy   -167 kJ/mol of atoms
Calculated total energy   -5.03 eV/atom

An optimized crystal structure of ReTcMo14, computed with PBE-GGA.

Geometry as CIF:
```
data_ReTcMo14
_cell_length_a 6.308
_cell_length_b 8.914
_cell_length_c 8.950
_cell_angle_alpha 90.00
_cell_angle_beta 90.00
_cell_angle_gamma 90.00
_space_group_name_H-M_alt 'C m m m'
_space_group_IT_number 65
_space_group_name_Hall '-C 2 2'
loop_
_atom_site_label
_atom_site_fract_x
_atom_site_fract_y
_atom_site_fract_z
Re1 0.000 0.000 0.000
Tc1 0.000 0.500 0.000
Mo1 0.000 0.000 0.500
Mo2 0.000 0.250 0.248
Mo3 0.000 0.500 0.500
Mo4 0.250 0.000 0.250
Mo5 0.250 0.250 0.000
Mo6 0.250 0.250 0.500
```

Output
Total moment   0.00 μB per atom
E_form   0.015 eV/atom
Crystal system   orthorhombic
Calculated total energy   -10.89 eV/atom

An optimized crystal structure of RbAlAs2Br, computed with PBE-GGA.

Geometry as CIF:
```
data_RbAlAs2Br
_cell_length_a 4.859
_cell_length_b 4.859
_cell_length_c 6.260
_cell_angle_alpha 90.00
_cell_angle_beta 90.00
_cell_angle_gamma 90.00
_space_group_name_H-M_alt 'P 4/m m m'
_space_group_IT_number 123
_space_group_name_Hall '-P 4 2'
loop_
_atom_site_label
_atom_site_fract_x
_atom_site_fract_y
_atom_site_fract_z
Rb1 0.000 0.000 0.000
Al1 0.500 0.500 0.500
As1 0.000 0.500 0.500
Br1 0.500 0.500 0.000
```

Output
Total moment   0.00 μB per atom
Distance to the lowest polymorph of the same formula   0 meV/atom
Crystal system   tetragonal
Uncorrected formation energy   -22 kJ/mol of atoms
Calculated total energy   -3.37 eV/atom

> Number 2 is which compound?

SiRhPb3

> The highest total moment belongs to which entry?

Gd2InO